A plane-wave DFT calculation with PBE-GGA was carried out for a relaxed structure of PmPu4S5.

The space group is C2/m (No. 12) and the conventional cell measures 13.159, 3.963 and 9.716 Å, with angles of 90.00, 119.38 and 90.00 degrees. The distinct sites, in fractional coordinates, are Pm at (0.000, 0.000, 0.000), Pu at (0.100, 0.500, 0.402), Pu at (0.201, 0.000, 0.800), S at (0.000, 0.000, 0.500), S at (0.104, 0.500, 0.899) and S at (0.200, 0.000, 0.303).

The density of states at the Fermi level comes out at 3.046 states/eV/atom. Its formation energy from raw total energies is -1809 meV/atom.

=====

A plane-wave DFT calculation with PBE-GGA was carried out for a relaxed structure of La12PmTm3.

The space group is P4/mmm (No. 123) and the conventional cell measures 5.200, 5.200 and 20.808 Å, with angles of 90.00, 90.00 and 90.00 degrees. The distinct sites, in fractional coordinates, are La at (0.000, 0.000, 0.000), La at (0.000, 0.000, 0.249), La at (0.000, 0.000, 0.500), La at (0.000, 0.500, 0.124), La at (0.000, 0.500, 0.373), Pm at (0.500, 0.500, 0.500), Tm at (0.500, 0.500, 0.000) and Tm at (0.500, 0.500, 0.249).

The density of states at the Fermi level comes out at 1.354 states/eV/atom. Its calculated formation energy is 1 kJ/mol of atoms.

=====

A plane-wave DFT calculation with PBE-GGA was carried out for a relaxed structure of SrLiSb2.

The space group is P4/mmm (No. 123) and the conventional cell measures 4.916, 4.916 and 4.599 Å, with angles of 90.00, 90.00 and 90.00 degrees. The distinct sites, in fractional coordinates, are Sr at (0.000, 0.000, 0.000), Li at (0.500, 0.500, 0.000) and Sb at (0.000, 0.500, 0.500).

For the excess energy over the best structure of this formula in the dataset, the calculation gives 0 meV per atom. The density of states at the Fermi level comes out at 0.386 states/eV/atom. Its formation energy from raw total energies is -604 meV/atom.

=====

A plane-wave DFT calculation with PBE-GGA was carried out for a relaxed structure of Ta2AsPd8.

The space group is Immm (No. 71) and the conventional cell measures 4.599, 5.691 and 13.585 Å, with angles of 90.00, 90.00 and 90.00 degrees. The distinct sites, in fractional coordinates, are Ta at (0.000, 0.000, 0.189), As at (0.000, 0.000, 0.500), Pd at (0.000, 0.247, 0.000), Pd at (0.000, 0.262, 0.363) and Pd at (0.000, 0.500, 0.190).

The density of states at the Fermi level comes out at 0.563 states/eV/atom. Its calculated formation energy is -35 kJ/mol of atoms.

=====

A plane-wave DFT calculation with PBE-GGA was carried out for a relaxed structure of La6PmY2Er.

The space group is C2/m (No. 12) and the conventional cell measures 11.473, 7.071 and 9.121 Å, with angles of 90.00, 104.82 and 90.00 degrees. The distinct sites, in fractional coordinates, are La at (0.134, 0.000, 0.429), La at (0.186, 0.278, 0.807), Pm at (0.000, 0.500, 0.500), Y at (0.083, 0.500, 0.167) and Er at (0.000, 0.000, 0.000).

The density of states at the Fermi level comes out at 1.944 states/eV/atom. Its calculated formation energy is 19 kJ/mol of atoms.

=====

A plane-wave DFT calculation with PBE-GGA was carried out for a relaxed structure of Tl2S5Br2.

The space group is Ima2 (No. 46) and the conventional cell measures 18.015, 18.117 and 3.802 Å, with angles of 90.00, 90.00 and 90.00 degrees. The distinct sites, in fractional coordinates, are Tl at (0.125, 0.062, 0.000), S at (0.018, 0.224, 0.009), S at (0.173, 0.722, 0.509), S at (0.250, 0.223, 0.008), Br at (0.000, 0.000, 0.500) and Br at (0.250, 0.505, 0.000).

The density of states at the Fermi level comes out at 0.221 states/eV/atom. Its formation energy from raw total energies is -126 meV/atom.

=====

A plane-wave DFT calculation with PBE-GGA was carried out for a relaxed structure of CsSrTc2.

The space group is Fm-3m (No. 225) and the conventional cell measures 7.653, 7.653 and 7.653 Å, with angles of 90.00, 90.00 and 90.00 degrees. The distinct sites, in fractional coordinates, are Cs at (0.000, 0.000, 0.000), Sr at (0.000, 0.000, 0.500) and Tc at (0.250, 0.250, 0.250).

The density of states at the Fermi level comes out at 1.325 states/eV/atom. Its calculated formation energy is 188 kJ/mol of atoms.

=====

A plane-wave DFT calculation with PBE-GGA was carried out for a relaxed structure of PuAl6Ni3.

The space group is P2_1/m (No. 11) and the conventional cell measures 7.497, 4.053 and 10.389 Å, with angles of 90.00, 98.84 and 90.00 degrees. The distinct sites, in fractional coordinates, are Pu at (0.049, 0.250, 0.233), Al at (0.098, 0.250, 0.574), Al at (0.256, 0.750, 0.025), Al at (0.331, 0.250, 0.860), Al at (0.342, 0.750, 0.690), Al at (0.382, 0.750, 0.273), Al at (0.394, 0.250, 0.462), Ni at (0.080, 0.250, 0.971), Ni at (0.230, 0.750, 0.467) and Ni at (0.450, 0.250, 0.107).

The density of states at the Fermi level comes out at 1.274 states/eV/atom. Its calculated formation energy is -39 kJ/mol of atoms.

=====

A plane-wave DFT calculation with PBE-GGA was carried out for a relaxed structure of CePm6Dy8.

The space group is R-3 (No. 148, hexagonal axes) and the conventional cell measures 9.0901, 9.0901 and 20.7763 Å, with angles of 90.00, 90.00 and 120.00 degrees. The distinct sites, in fractional coordinates, are Ce at (0.0000, 0.0000, 0.0000), Pm at (0.0623, 0.8131, 0.7095), Dy at (0.0000, 0.0000, 0.4229) and Dy at (0.0812, 0.5223, 0.8063).

The density of states at the Fermi level comes out at 1.691 states/eV/atom. Its calculated formation energy is 12 kJ/mol of atoms.

=====

A plane-wave DFT calculation with PBE-GGA was carried out for a relaxed structure of Mn2CrSi.

The space group is C2/m (No. 12) and the conventional cell measures 4.932, 7.834 and 2.529 Å, with angles of 90.00, 112.73 and 90.00 degrees. The distinct sites, in fractional coordinates, are Mn at (0.250, 0.250, 0.000), Cr at (0.000, 0.000, 0.500) and Si at (0.000, 0.500, 0.500).

The density of states at the Fermi level comes out at 1.213 states/eV/atom. Its formation energy from raw total energies is -98 meV/atom.

=====

A plane-wave DFT calculation with PBE-GGA was carried out for a relaxed structure of PuThCd2.

The space group is P4/mmm (No. 123) and the conventional cell measures 4.653, 4.653 and 4.858 Å, with angles of 90.00, 90.00 and 90.00 degrees. The distinct sites, in fractional coordinates, are Pu at (0.000, 0.000, 0.000), Th at (0.500, 0.500, 0.000) and Cd at (0.000, 0.500, 0.500).

For the excess energy over the best structure of this formula in the dataset, the calculation gives 10 meV per atom. The density of states at the Fermi level comes out at 3.061 states/eV/atom. Its calculated formation energy is -3 kJ/mol of atoms.

=====

A plane-wave DFT calculation with PBE-GGA was carried out for a relaxed structure of ZnAg2Pt.

The space group is P2/m (No. 10) and the conventional cell measures 2.865, 4.840 and 4.768 Å, with angles of 90.00, 92.32 and 90.00 degrees. The distinct sites, in fractional coordinates, are Zn at (0.000, 0.000, 0.000), Ag at (0.239, 0.500, 0.752) and Pt at (0.500, 0.000, 0.500).

The density of states at the Fermi level comes out at 0.348 states/eV/atom. Its calculated formation energy is -9 kJ/mol of atoms.